PaCoPbO6: relaxed, PBE with a Hubbard U.

```
PaCoPbO6
1.0
4.805 0.000 0.000
0.000 5.261 0.000
0.000 -2.631 4.556
Pa Co Pb O
1 1 1 6
Direct
0.000 0.333 0.667 Pa
0.500 0.000 0.000 Co
0.500 0.667 0.333 Pb
0.734 0.692 0.702 O
0.734 0.298 0.990 O
0.734 0.010 0.308 O
0.266 0.298 0.308 O
0.266 0.692 0.990 O
0.266 0.010 0.702 O
```

Properties
V: 12.80 Å³/atom
total energy: -7.192 eV per atom
space-group type: P312
D(E_F): 0.000 states/eV/atom